The following is a DFT calculation (PBE-GGA) of crystalline AsC at its relaxed geometry.

Results
V in Å³/f.u.: 24.3
Calculated total energy in eV per cell: -32.26
Space-group type: P-62m
Formation enthalpy at 0 K in eV per atom: 1.56
E above lowest polymorph in meV per atom: 1019.4

abc: 5.3286 5.3286 2.9651
angles: 90.00 90.00 120.00
Last column: nearest neighbours and their distance in Å.
Atoms (fractional coordinates):
As  0.0000  0.0000  0.0000  3 C 1.96
As  0.3333  0.6667  0.5000  6 C 2.25
As  0.6667  0.3333  0.5000  6 C 2.25
C  0.0000  0.3669  0.0000  1 As 1.96
C  0.3669  0.0000  0.0000  1 As 1.96
C  0.6331  0.6331  0.0000  1 As 1.96


The following is a DFT calculation (PBE-GGA) of crystalline AsC at its relaxed geometry.

Results
V in Å³/f.u.: 28.6
Calculated total energy in eV per cell: -10.98
Space-group type: F-43m
Formation enthalpy at 0 K in eV per atom: 1.44
E above lowest polymorph in meV per atom: 904.4

abc: 3.4313 3.4313 3.4313
angles: 60.00 60.00 60.00
Last column: nearest neighbours and their distance in Å.
Atoms (fractional coordinates):
As  0.0000  0.0000  0.0000  4 C 2.10
C  0.7500  0.7500  0.7500  4 As 2.10


The following is a DFT calculation (PBE-GGA) of crystalline AsC at its relaxed geometry.

Results
V in Å³/f.u.: 31.2
Calculated total energy in eV per cell: -44.68
Space-group type: P2_13
Formation enthalpy at 0 K in eV per atom: 1.35
E above lowest polymorph in meV per atom: 811.0

abc: 4.9948 4.9948 4.9948
angles: 90.00 90.00 90.00
Last column: nearest neighbours and their distance in Å.
Atoms (fractional coordinates):
As  0.2261  0.2739  0.7261  3 C 1.95
As  0.2739  0.7261  0.2261  3 C 1.95
As  0.7261  0.2261  0.2739  3 C 1.95
As  0.7739  0.7739  0.7739  3 C 1.95
C  0.0927  0.5927  0.9073  3 As 1.95
C  0.4073  0.4073  0.4073  3 As 1.95
C  0.5927  0.9073  0.0927  3 As 1.95
C  0.9073  0.0927  0.5927  3 As 1.95


The following is a DFT calculation (PBE-GGA) of crystalline AsC4 at its relaxed geometry.

Results
V in Å³/f.u.: 57.9
Calculated total energy in eV per cell: -22.34
Space-group type: Pm-3m
Formation enthalpy at 0 K in eV per atom: 3.84
E above lowest polymorph in meV per atom: 2619.5

abc: 3.8677 3.8677 3.8677
angles: 90.00 90.00 90.00
Last column: nearest neighbours and their distance in Å.
Atoms (fractional coordinates):
As  0.0000  0.0000  0.0000  6 C 1.93
C  0.0000  0.0000  0.5000  2 As 1.93
C  0.0000  0.5000  0.0000  2 As 1.93
C  0.5000  0.0000  0.0000  2 As 1.93
C  0.5000  0.5000  0.5000  12 C 2.73


The following is a DFT calculation (PBE-GGA) of crystalline AsC at its relaxed geometry.

Results
V in Å³/f.u.: 27.6
Calculated total energy in eV per cell: -21.92
Space-group type: P2_1/m
Formation enthalpy at 0 K in eV per atom: 1.46
E above lowest polymorph in meV per atom: 917.1

abc: 3.2584 3.1806 5.5545
angles: 90.00 106.52 90.00
Last column: nearest neighbours and their distance in Å.
Atoms (fractional coordinates):
As  0.2047  0.2500  0.2826  3 C 2.02-2.05
As  0.7953  0.7500  0.7174  3 C 2.02-2.05
C  0.3801  0.2500  0.6610  3 As 2.02-2.05
C  0.6199  0.7500  0.3390  3 As 2.02-2.05


The following is a DFT calculation (PBE-GGA) of crystalline As2C at its relaxed geometry.

Results
V in Å³/f.u.: 54.3
Calculated total energy in eV per cell: -15.09
Space-group type: R3m
Formation enthalpy at 0 K in eV per atom: 1.15
E above lowest polymorph in meV per atom: 648.7

abc: 6.9468 6.9468 6.9468
angles: 25.40 25.40 25.40
Last column: nearest neighbours and their distance in Å.
Atoms (fractional coordinates):
As  0.0000  0.0000  0.0000  9 As 3.05-3.27
As  0.1967  0.1967  0.1967  3 C 1.92
C  0.4925  0.4925  0.4925  3 As 1.92


The following is a DFT calculation (PBE-GGA) of crystalline As2C at its relaxed geometry.

Results
V in Å³/f.u.: 55.3
Calculated total energy in eV per cell: -27.80
Space-group type: I4_1/amd
Formation enthalpy at 0 K in eV per atom: 1.54
E above lowest polymorph in meV per atom: 1044.9

abc: 11.9648 11.9648 11.9648
angles: 165.27 165.27 20.89
Last column: nearest neighbours and their distance in Å.
Atoms (fractional coordinates):
As  0.3253  0.5753  0.7500  1 As 2.34, 4 C 2.46
As  0.4247  0.6747  0.7500  1 As 2.34, 4 C 2.46
As  0.5753  0.3253  0.2500  1 As 2.34, 4 C 2.46
As  0.6747  0.4247  0.2500  1 As 2.34, 4 C 2.46
C  0.1250  0.8750  0.2500  8 As 2.46
C  0.8750  0.1250  0.7500  8 As 2.46


The following is a DFT calculation (PBE-GGA) of crystalline As2C at its relaxed geometry.

Results
V in Å³/f.u.: 46.1
Calculated total energy in eV per cell: -43.52
Space-group type: P-31m
Formation enthalpy at 0 K in eV per atom: 1.34
E above lowest polymorph in meV per atom: 842.3

abc: 6.0100 6.0100 4.4173
angles: 90.00 90.00 120.00
Last column: nearest neighbours and their distance in Å.
Atoms (fractional coordinates):
As  0.0000  0.3479  0.2188  3 C 2.30-2.32
As  0.0000  0.6521  0.7812  3 C 2.30-2.32
As  0.3479  0.0000  0.2188  3 C 2.30-2.32
As  0.3479  0.3479  0.7812  3 C 2.30-2.32
As  0.6521  0.0000  0.7812  3 C 2.30-2.32
As  0.6521  0.6521  0.2188  3 C 2.30-2.32
C  0.0000  0.0000  0.0000  6 As 2.30
C  0.3333  0.6667  0.5000  6 As 2.32
C  0.6667  0.3333  0.5000  6 As 2.32


The following is a DFT calculation (PBE-GGA) of crystalline As2C at its relaxed geometry.

Results
V in Å³/f.u.: 65.9
Calculated total energy in eV per cell: -32.34
Space-group type: C2/m
Formation enthalpy at 0 K in eV per atom: 0.78
E above lowest polymorph in meV per atom: 288.1

abc: 6.3605 6.3605 7.2204
angles: 101.76 101.76 27.48
Last column: nearest neighbours and their distance in Å.
Atoms (fractional coordinates):
As  0.0334  0.0334  0.1888  2 C 1.92
As  0.3268  0.3268  0.3477  1 C 1.83
As  0.6732  0.6732  0.6523  1 C 1.83
As  0.9666  0.9666  0.8112  2 C 1.92
C  0.4474  0.4474  0.2377  3 As 1.83-1.92
C  0.5526  0.5526  0.7623  3 As 1.83-1.92


The following is a DFT calculation (PBE-GGA) of crystalline As4C at its relaxed geometry.

Results
V in Å³/f.u.: 88.1
Calculated total energy in eV per cell: -22.74
Space-group type: Im-3m
Formation enthalpy at 0 K in eV per atom: 1.02
E above lowest polymorph in meV per atom: 68.0

abc: 4.8553 4.8553 4.8553
angles: 109.47 109.47 109.47
Last column: nearest neighbours and their distance in Å.
Atoms (fractional coordinates):
As  0.0000  0.0000  0.5000  2 C 2.43
As  0.0000  0.5000  0.0000  2 C 2.43
As  0.5000  0.0000  0.0000  2 C 2.43
As  0.5000  0.5000  0.5000  2 C 2.43
C  0.0000  0.0000  0.0000  8 As 2.43


The following is a DFT calculation (PBE-GGA) of crystalline AsC at its relaxed geometry.

Results
V in Å³/f.u.: 38.3
Calculated total energy in eV per cell: -10.38
Space-group type: Cmmm
Formation enthalpy at 0 K in eV per atom: 1.75
E above lowest polymorph in meV per atom: 1208.8

abc: 4.8173 4.8173 2.8856
angles: 90.00 90.00 145.14
Last column: nearest neighbours and their distance in Å.
Atoms (fractional coordinates):
As  0.0000  0.0000  0.0000  4 C 2.04
C  0.5000  0.5000  0.5000  4 As 2.04


The following is a DFT calculation (PBE-GGA) of crystalline AsC at its relaxed geometry.

Results
V in Å³/f.u.: 26.1
Calculated total energy in eV per cell: -70.21
Space-group type: Pmmn
Formation enthalpy at 0 K in eV per atom: 1.09
E above lowest polymorph in meV per atom: 545.5

abc: 3.1856 11.0940 4.4378
angles: 90.00 90.00 90.00
Last column: nearest neighbours and their distance in Å.
Atoms (fractional coordinates):
As  0.2500  0.0702  0.2427  2 C 1.99
As  0.2500  0.4298  0.2427  2 C 1.99
As  0.2500  0.7500  0.2666  4 C 1.93-1.97
As  0.7500  0.2500  0.7334  4 C 1.93-1.97
As  0.7500  0.5702  0.7573  2 C 1.99
As  0.7500  0.9298  0.7573  2 C 1.99
C  0.2500  0.2500  0.9957  2 As 1.97
C  0.2500  0.6039  0.5016  3 As 1.93-1.99
C  0.2500  0.8961  0.5016  3 As 1.93-1.99
C  0.7500  0.1039  0.4984  3 As 1.93-1.99
C  0.7500  0.3961  0.4984  3 As 1.93-1.99
C  0.7500  0.7500  0.0043  2 As 1.97